Entry from Alexandria: crystalline Th4InCo at its relaxed geometry (PBE-GGA).

Computed properties:
space-group type = No. 216
calculated total energy = -6.79 eV/atom
magnetic moment = 0.0000 μB per atom
energy above the most stable polymorph in this dataset = 0 meV/atom
ΔE_f = -0.21 eV per atom

a b c (Å): 9.7815 9.7815 9.7815
angles (deg): 60.00 60.00 60.00
Fractional coordinates of all 24 atoms:
Th1 0.4050 0.4050 0.4050
Th2 0.7851 0.4050 0.4050
Th3 0.4050 0.7851 0.4050
Th4 0.4050 0.4050 0.7851
Th5 0.5570 0.5570 0.9430
Th6 0.9430 0.9430 0.5570
Th7 0.5570 0.9430 0.5570
Th8 0.9430 0.5570 0.9430
Th9 0.9430 0.5570 0.5570
Th10 0.5570 0.9430 0.9430
Th11 0.1858 0.1858 0.8142
Th12 0.8142 0.8142 0.1858
Th13 0.1858 0.8142 0.1858
Th14 0.8142 0.1858 0.8142
Th15 0.8142 0.1858 0.1858
Th16 0.1858 0.8142 0.8142
In1 0.1700 0.1700 0.1700
In2 0.4901 0.1700 0.1700
In3 0.1700 0.4901 0.1700
In4 0.1700 0.1700 0.4901
Co1 0.6102 0.6102 0.6102
Co2 0.1694 0.6102 0.6102
Co3 0.6102 0.1694 0.6102
Co4 0.6102 0.6102 0.1694

***

Entry from Alexandria: crystalline Th4In16Co3 at its relaxed geometry (PBE-GGA).

Computed properties:
space-group type = No. 123
calculated total energy = -4.33 eV/atom
magnetic moment = 0.0001 μB per atom
ΔE_f = -0.21 eV per atom

a b c (Å): 6.6698 6.6698 12.3081
angles (deg): 90.00 90.00 90.00
Fractional coordinates of all 23 atoms:
Th1 0.5000 0.0000 0.8040
Th2 0.0000 0.5000 0.1960
Th3 0.0000 0.5000 0.8040
Th4 0.5000 0.0000 0.1960
In1 0.0000 0.0000 0.7879
In2 0.2724 0.2724 0.0000
In3 0.5000 0.5000 0.8027
In4 0.7276 0.2724 0.0000
In5 0.5000 0.5000 0.1973
In6 0.7276 0.7276 0.0000
In7 0.0000 0.0000 0.2121
In8 0.7485 0.7485 0.6160
In9 0.7485 0.2515 0.3840
In10 0.2515 0.2515 0.6160
In11 0.2515 0.7485 0.3840
In12 0.2724 0.7276 0.0000
In13 0.7485 0.7485 0.3840
In14 0.7485 0.2515 0.6160
In15 0.2515 0.2515 0.3840
In16 0.2515 0.7485 0.6160
Co1 0.0000 0.5000 0.5000
Co2 0.0000 0.0000 0.0000
Co3 0.5000 0.0000 0.5000

***

Entry from Alexandria: crystalline Th4InCo at its relaxed geometry (PBE-GGA).

Computed properties:
space-group type = No. 124
calculated total energy = -6.76 eV/atom
magnetic moment = 0.0000 μB per atom
energy above the most stable polymorph in this dataset = 36 meV/atom
ΔE_f = -0.17 eV per atom

a b c (Å): 5.8961 7.4611 7.4611
angles (deg): 90.00 90.00 90.00
Fractional coordinates of all 12 atoms:
Th1 0.0000 0.1819 0.6403
Th2 0.0000 0.8181 0.3597
Th3 0.0000 0.3597 0.1819
Th4 0.0000 0.6403 0.8181
Th5 0.5000 0.8181 0.6403
Th6 0.5000 0.1819 0.3597
Th7 0.5000 0.6403 0.1819
Th8 0.5000 0.3597 0.8181
In1 0.2500 0.0000 0.0000
In2 0.7500 0.0000 0.0000
Co1 0.2500 0.5000 0.5000
Co2 0.7500 0.5000 0.5000

***

Entry from Alexandria: crystalline Th6In10Co at its relaxed geometry (PBE-GGA).

Computed properties:
space-group type = No. 162
calculated total energy = -4.77 eV/atom
magnetic moment = 0.0449 μB per atom
ΔE_f = -0.12 eV per atom

a b c (Å): 6.1964 9.3467 9.3467
angles (deg): 120.00 90.00 90.00
Last column: magnetic moment on the atom in μB.
Fractional coordinates of all 17 atoms:
Th1 0.7331 0.3954 0.3954  0.00
Th2 0.7331 0.0000 0.6046  0.00
Th3 0.7331 0.6046 0.0000  0.00
Th4 0.2669 0.6046 0.6046  0.00
Th5 0.2669 0.0000 0.3954  0.00
Th6 0.2669 0.3954 0.0000  0.00
In1 0.7835 0.7783 0.7783  0.00
In2 0.7835 0.0000 0.2217  0.00
In3 0.7835 0.2217 0.0000  0.00
In4 0.2165 0.2217 0.2217  0.00
In5 0.2165 0.0000 0.7783  0.00
In6 0.2165 0.7783 0.0000  0.00
In7 0.5000 0.3333 0.6667  0.00
In8 0.5000 0.6667 0.3333  0.00
In9 0.0000 0.6667 0.3333  0.01
In10 0.0000 0.3333 0.6667  0.01
Co1 0.5000 0.0000 0.0000  0.76

***

Entry from Alexandria: crystalline Th7InCo2 at its relaxed geometry (PBE-GGA).

Computed properties:
space-group type = No. 65
calculated total energy = -6.85 eV/atom
magnetic moment = 0.0000 μB per atom
ΔE_f = 0.04 eV per atom

a b c (Å): 4.9445 8.2809 8.2809
angles (deg): 114.35 90.00 90.00
Fractional coordinates of all 10 atoms:
Th1 0.0000 0.7101 0.2899
Th2 0.0000 0.2899 0.7101
Th3 0.5000 0.0473 0.3085
Th4 0.5000 0.9527 0.6915
Th5 0.5000 0.3085 0.0473
Th6 0.5000 0.6915 0.9527
Th7 0.5000 0.5000 0.5000
In1 0.0000 0.0000 0.0000
Co1 0.5000 0.6845 0.3155
Co2 0.5000 0.3155 0.6845

***

Entry from Alexandria: crystalline Th3InCo at its relaxed geometry (PBE-GGA).

Computed properties:
space-group type = No. 12
calculated total energy = -6.63 eV/atom
magnetic moment = 0.0000 μB per atom
energy above the most stable polymorph in this dataset = 0 meV/atom
ΔE_f = -0.21 eV per atom

a b c (Å): 5.3645 6.4546 9.4347
angles (deg): 68.16 73.48 65.45
Fractional coordinates of all 10 atoms:
Th1 0.8629 0.0162 0.2580
Th2 0.1371 0.9838 0.7420
Th3 0.6326 0.6803 0.0545
Th4 0.3674 0.3197 0.9455
Th5 0.8687 0.6075 0.6552
Th6 0.1313 0.3925 0.3448
In1 0.4093 0.7600 0.4214
In2 0.5907 0.2400 0.5786
Co1 0.1032 0.7405 0.0531
Co2 0.8968 0.2595 0.9469

***

Entry from Alexandria: crystalline Th6InCo at its relaxed geometry (PBE-GGA).

Computed properties:
space-group type = No. 12
calculated total energy = -6.80 eV/atom
magnetic moment = 0.0000 μB per atom
ΔE_f = 0.00 eV per atom

a b c (Å): 6.4221 8.0955 6.4022
angles (deg): 50.78 78.50 71.62
Fractional coordinates of all 8 atoms:
Th1 0.7949 0.5927 0.6111
Th2 0.7949 0.2038 0.3889
Th3 0.2051 0.7962 0.6111
Th4 0.2051 0.4073 0.3889
Th5 0.5934 0.7958 0.0000
Th6 0.4066 0.2042 0.0000
In1 0.0000 0.0000 0.0000
Co1 0.5000 0.5000 0.0000

***

Entry from Alexandria: crystalline Th2InCo at its relaxed geometry (PBE-GGA).

Computed properties:
space-group type = No. 62
calculated total energy = -6.37 eV/atom
magnetic moment = 0.0000 μB per atom
energy above the most stable polymorph in this dataset = 12 meV/atom
ΔE_f = -0.20 eV per atom

a b c (Å): 4.6917 6.3832 13.8655
angles (deg): 90.00 90.00 90.00
Fractional coordinates of all 16 atoms:
Th1 0.0625 0.4195 0.8015
Th2 0.5625 0.5805 0.1985
Th3 0.5625 0.0805 0.3015
Th4 0.0625 0.9195 0.6985
Th5 0.5624 0.2085 0.9564
Th6 0.0624 0.7915 0.0436
Th7 0.0624 0.2915 0.4564
Th8 0.5624 0.7085 0.5436
In1 0.0625 0.7584 0.3620
In2 0.5625 0.2416 0.6380
In3 0.5625 0.7416 0.8620
In4 0.0625 0.2584 0.1380
Co1 0.0624 0.9642 0.8788
Co2 0.5624 0.0358 0.1212
Co3 0.5624 0.5358 0.3788
Co4 0.0624 0.4642 0.6212

***

Entry from Alexandria: crystalline Th3InCo at its relaxed geometry (PBE-GGA).

Computed properties:
space-group type = No. 221
calculated total energy = -6.60 eV/atom
magnetic moment = 0.0000 μB per atom
energy above the most stable polymorph in this dataset = 28 meV/atom
ΔE_f = -0.18 eV per atom

a b c (Å): 5.2708 5.2708 5.2708
angles (deg): 90.00 90.00 90.00
Fractional coordinates of all 5 atoms:
Co1 0.0000 0.0000 0.0000
Th1 0.0000 0.5000 0.0000
Th2 0.0000 0.0000 0.5000
Th3 0.5000 0.0000 0.0000
In1 0.5000 0.5000 0.5000

***

Entry from Alexandria: crystalline Th12InCo6 at its relaxed geometry (PBE-GGA).

Computed properties:
space-group type = No. 204
calculated total energy = -7.30 eV/atom
magnetic moment = 0.0000 μB per atom
ΔE_f = -0.22 eV per atom

a b c (Å): 8.6203 8.6203 8.6203
angles (deg): 109.47 109.47 109.47
Fractional coordinates of all 19 atoms:
Th1 0.3146 0.1351 0.8205
Th2 0.3146 0.4941 0.1795
Th3 0.6854 0.5059 0.8205
Th4 0.6854 0.8649 0.1795
Th5 0.1351 0.8205 0.3146
Th6 0.4941 0.1795 0.3146
Th7 0.5059 0.8205 0.6854
Th8 0.8649 0.1795 0.6854
Th9 0.8205 0.3146 0.1351
Th10 0.1795 0.3146 0.4941
Th11 0.8205 0.6854 0.5059
Th12 0.1795 0.6854 0.8649
In1 0.0000 0.0000 0.0000
Co1 0.3672 0.5000 0.8672
Co2 0.6328 0.5000 0.1328
Co3 0.5000 0.8672 0.3672
Co4 0.5000 0.1328 0.6328
Co5 0.8672 0.3672 0.5000
Co6 0.1328 0.6328 0.5000

***

Entry from Alexandria: crystalline Th3InCo at its relaxed geometry (PBE-GGA).

Computed properties:
space-group type = No. 11
calculated total energy = -6.59 eV/atom
magnetic moment = 0.0000 μB per atom
energy above the most stable polymorph in this dataset = 36 meV/atom
ΔE_f = -0.17 eV per atom

a b c (Å): 4.7721 7.1192 8.5825
angles (deg): 105.84 90.00 90.00
Fractional coordinates of all 10 atoms:
Th1 0.7500 0.5697 0.3911
Th2 0.2500 0.4303 0.6089
Th3 0.7500 0.2852 0.9320
Th4 0.2500 0.9635 0.6678
Th5 0.2500 0.7148 0.0680
Th6 0.7500 0.0365 0.3322
In1 0.2500 0.2712 0.1819
In2 0.7500 0.7288 0.8181
Co1 0.2500 0.7829 0.3738
Co2 0.7500 0.2171 0.6262

***

Entry from Alexandria: crystalline Th6In3Co at its relaxed geometry (PBE-GGA).

Computed properties:
space-group type = No. 14
calculated total energy = -6.10 eV/atom
magnetic moment = 0.0000 μB per atom
ΔE_f = -0.12 eV per atom

a b c (Å): 6.0095 9.1310 10.8277
angles (deg): 90.00 85.95 90.00
Fractional coordinates of all 20 atoms:
Th1 0.5950 0.1585 0.9476
Th2 0.5667 0.1967 0.5564
Th3 0.6251 0.4551 0.2758
Th4 0.3749 0.5449 0.7242
Th5 0.4333 0.8033 0.4436
Th6 0.4050 0.8415 0.0524
Th7 0.0950 0.3415 0.4476
Th8 0.0667 0.3033 0.0564
Th9 0.1251 0.0449 0.7758
Th10 0.8749 0.9551 0.2242
Th11 0.9333 0.6967 0.9436
Th12 0.9050 0.6585 0.5524
In1 0.6110 0.8813 0.7382
In2 0.5000 0.5000 0.0000
In3 0.3890 0.1187 0.2618
In4 0.1110 0.6187 0.2382
In5 0.0000 0.0000 0.5000
In6 0.8890 0.3813 0.7618
Co1 0.5000 0.5000 0.5000
Co2 0.0000 0.0000 0.0000